The following is a GGA-PBE calculation of FeBi2P after structural relaxation, from Alexandria.

- Energy of formation: 0.67 eV/atom

Cell: 6.1254 6.1254 12.0312 Å, 90.00 90.00 90.00°
Closest atoms and distances in Å follow each position.
Space group I-42d (No. 122)
Unique sites:
1 Fe 0.0000 0.0000 0.0000 (multiplicity 4)  4 Bi 2.53
2 Bi 0.2176 0.2500 0.1250 (multiplicity 8)  2 Fe 2.53, 2 P 2.76
3 P 0.0000 0.0000 0.5000 (multiplicity 4)  4 Bi 2.76